(1)
A relaxed UNbRu5 crystal, computed with PBE-GGA.

Properties
Calculated formation energy = 0.00 eV per atom
M_tot = 0.000 Bohr magnetons per cell
V = 16.58 A^3/atom
DOS(E_F) = 8.446 states/eV per cell

a b c (Å): 3.900 3.900 7.631
angles (deg): 90.00 90.00 90.00
Space group P4/mmm (No. 123)
Symmetry-distinct sites (fractional):
1 U 0.000 0.000 0.000 (multiplicity 1)
2 Nb 0.500 0.500 0.500 (multiplicity 1)
3 Ru 0.000 0.000 0.500 (multiplicity 1)
4 Ru 0.000 0.500 0.244 (multiplicity 4)

(2)
A relaxed ScTaRu crystal, computed with PBE-GGA.

Properties
Calculated formation energy = -0.34 eV per atom
M_tot = 0.000 Bohr magnetons per cell
V = 18.39 A^3/atom
DOS(E_F) = 10.805 states/eV per cell

a b c (Å): 5.577 5.646 7.009
angles (deg): 90.00 90.00 90.00
Space group Imma (No. 74)
Symmetry-distinct sites (fractional):
1 Sc 0.000 0.250 0.141 (multiplicity 4)
2 Ta 0.250 0.250 0.750 (multiplicity 4)
3 Ru 0.000 0.000 0.500 (multiplicity 4)

(3)
A relaxed ScRh3 crystal, computed with PBE-GGA.

Properties
Calculated formation energy = -0.31 eV per atom
M_tot = 0.007 Bohr magnetons per cell
V = 15.50 A^3/atom
DOS(E_F) = 6.204 states/eV per cell

a b c (Å): 2.861 2.861 7.574
angles (deg): 90.00 90.00 90.00
Space group P4/mmm (No. 123)
Symmetry-distinct sites (fractional):
1 Sc 0.000 0.000 0.000 (multiplicity 1)
2 Rh 0.000 0.000 0.500 (multiplicity 1)
3 Rh 0.500 0.500 0.259 (multiplicity 2)

(4)
A relaxed Tb4Pm2Th3 crystal, computed with PBE-GGA.

Properties
Calculated formation energy = 0.08 eV per atom
M_tot = 0.000 Bohr magnetons per cell
V = 32.93 A^3/atom
DOS(E_F) = 17.825 states/eV per cell

a b c (Å): 3.5773 3.5773 26.7462
angles (deg): 90.00 90.00 120.00
Space group P3m1 (No. 156)
Symmetry-distinct sites (fractional):
1 Tb 0.0000 0.0000 0.0000 (multiplicity 1)
2 Tb 0.0000 0.0000 0.2164 (multiplicity 1)
3 Tb 0.3333 0.6667 0.3241 (multiplicity 1)
4 Tb 0.3333 0.6667 0.5417 (multiplicity 1)
5 Pm 0.0000 0.0000 0.6531 (multiplicity 1)
6 Pm 0.0000 0.0000 0.8731 (multiplicity 1)
7 Th 0.0000 0.0000 0.4333 (multiplicity 1)
8 Th 0.3333 0.6667 0.1058 (multiplicity 1)
9 Th 0.3333 0.6667 0.7646 (multiplicity 1)

(5)
A relaxed HfTe3S crystal, computed with PBE-GGA.

Properties
M_tot = 0.503 Bohr magnetons per cell
V = 27.32 A^3/atom
E_form (uncorrected) = 0.5411 eV/atom
DOS(E_F) = 4.941 states/eV per cell

a b c (Å): 5.150 5.150 5.150
angles (deg): 90.00 90.00 90.00
Space group Pm-3m (No. 221)
Symmetry-distinct sites (fractional):
1 Hf 0.000 0.000 0.000 (multiplicity 1)
2 Te 0.000 0.500 0.500 (multiplicity 3)
3 S 0.500 0.500 0.500 (multiplicity 1)

(6)
A relaxed PmGdNiPd crystal, computed with PBE-GGA.

Properties
Calculated formation energy = -0.53 eV per atom
M_tot = 28.929 Bohr magnetons per cell
V = 21.78 A^3/atom
DOS(E_F) = 15.896 states/eV per cell

a b c (Å): 7.038 7.038 7.038
angles (deg): 90.00 90.00 90.00
Space group F-43m (No. 216)
Symmetry-distinct sites (fractional):
1 Pm 0.000 0.000 0.000 (multiplicity 4)
2 Gd 0.000 0.000 0.500 (multiplicity 4)
3 Ni 0.250 0.250 0.750 (multiplicity 4)
4 Pd 0.250 0.250 0.250 (multiplicity 4)

(7)
A relaxed NbVSiRh crystal, computed with PBE-GGA.

Properties
M_tot = 0.001 Bohr magnetons per cell
V = 14.45 A^3/atom
E_form (uncorrected) = -0.3230 eV/atom
DOS(E_F) = 17.756 states/eV per cell

a b c (Å): 6.137 6.137 6.137
angles (deg): 90.00 90.00 90.00
Space group F-43m (No. 216)
Symmetry-distinct sites (fractional):
1 Nb 0.000 0.000 0.000 (multiplicity 4)
2 V 0.250 0.250 0.750 (multiplicity 4)
3 Si 0.250 0.250 0.250 (multiplicity 4)
4 Rh 0.000 0.000 0.500 (multiplicity 4)

(8)
A relaxed BaCrAs2C crystal, computed with PBE-GGA.

Properties
Calculated formation energy = 0.30 eV per atom
M_tot = 0.000 Bohr magnetons per cell
V = 19.79 A^3/atom
DOS(E_F) = 4.651 states/eV per cell

a b c (Å): 5.030 5.030 3.911
angles (deg): 90.00 90.00 90.00
Space group P4/mmm (No. 123)
Symmetry-distinct sites (fractional):
1 Ba 0.000 0.000 0.000 (multiplicity 1)
2 Cr 0.500 0.500 0.500 (multiplicity 1)
3 As 0.000 0.500 0.500 (multiplicity 2)
4 C 0.500 0.500 0.000 (multiplicity 1)

(9)
A relaxed U2TcAs crystal, computed with PBE-GGA.

Properties
Calculated formation energy = -0.30 eV per atom
M_tot = 0.849 Bohr magnetons per cell
V = 19.29 A^3/atom
DOS(E_F) = 7.314 states/eV per cell

a b c (Å): 3.684 3.684 5.684
angles (deg): 90.00 90.00 90.00
Space group P4/mmm (No. 123)
Symmetry-distinct sites (fractional):
1 U 0.000 0.000 0.224 (multiplicity 2)
2 Tc 0.500 0.500 0.500 (multiplicity 1)
3 As 0.500 0.500 0.000 (multiplicity 1)

(10)
A relaxed Rb5Dy2F12 crystal, computed with PBE-GGA.

Properties
M_tot = 2.577 Bohr magnetons per cell
V = 20.43 A^3/atom
E_form (uncorrected) = -3.1718 eV/atom
DOS(E_F) = 28.121 states/eV per cell

a b c (Å): 13.856 8.240 6.868
angles (deg): 90.00 98.11 90.00
Space group C2/m (No. 12)
Symmetry-distinct sites (fractional):
1 Rb 0.000 0.000 0.000 (multiplicity 2)
2 Rb 0.140 0.500 0.023 (multiplicity 4)
3 Rb 0.240 0.000 0.469 (multiplicity 4)
4 Dy 0.000 0.263 0.500 (multiplicity 4)
5 F 0.035 0.500 0.341 (multiplicity 4)
6 F 0.061 0.000 0.620 (multiplicity 4)
7 F 0.098 0.206 0.276 (multiplicity 8)
8 F 0.137 0.295 0.710 (multiplicity 8)

(11)
A relaxed AcCe3Pt8 crystal, computed with PBE-GGA.

Properties
Calculated formation energy = -0.96 eV per atom
M_tot = 2.418 Bohr magnetons per cell
V = 20.14 A^3/atom
DOS(E_F) = 19.633 states/eV per cell

a b c (Å): 5.5170 5.5170 9.1695
angles (deg): 90.00 90.00 120.00
Space group P3m1 (No. 156)
Symmetry-distinct sites (fractional):
1 Ac 0.0000 0.0000 0.0000 (multiplicity 1)
2 Ce 0.0000 0.0000 0.3807 (multiplicity 1)
3 Ce 0.6667 0.3333 0.4860 (multiplicity 1)
4 Ce 0.6667 0.3333 0.8557 (multiplicity 1)
5 Pt 0.1666 0.3332 0.6785 (multiplicity 3)
6 Pt 0.3333 0.6667 0.4331 (multiplicity 1)
7 Pt 0.3333 0.6667 0.9324 (multiplicity 1)
8 Pt 0.5010 0.0020 0.1886 (multiplicity 3)

(12)
A relaxed PmH5Ru crystal, computed with PBE-GGA.

Properties
Total DFT energy (no corrections) = -4.754 eV per atom
M_tot = 0.000 Bohr magnetons per cell
V = 8.92 A^3/atom
DOS(E_F) = 2.214 states/eV per cell

a b c (Å): 3.641 5.026 6.821
angles (deg): 90.00 90.00 90.00
Space group Immm (No. 71)
Symmetry-distinct sites (fractional):
1 Pm 0.000 0.000 0.000 (multiplicity 2)
2 H 0.000 0.251 0.333 (multiplicity 8)
3 H 0.000 0.500 0.000 (multiplicity 2)
4 Ru 0.000 0.000 0.500 (multiplicity 2)

(13)
A relaxed MnSb2Pt7 crystal, computed with PBE-GGA.

Properties
M_tot = 8.153 Bohr magnetons per cell
V = 17.95 A^3/atom
E_form (uncorrected) = -0.3343 eV/atom
DOS(E_F) = 9.934 states/eV per cell

a b c (Å): 3.962 3.962 22.876
angles (deg): 90.00 90.00 90.00
Space group I4/mmm (No. 139)
Symmetry-distinct sites (fractional):
1 Mn 0.000 0.000 0.000 (multiplicity 2)
2 Sb 0.000 0.000 0.333 (multiplicity 4)
3 Pt 0.000 0.000 0.500 (multiplicity 2)
4 Pt 0.000 0.500 0.086 (multiplicity 8)
5 Pt 0.000 0.500 0.250 (multiplicity 4)

(14)
A relaxed AsH2Os crystal, computed with PBE-GGA.

Properties
Total DFT energy (no corrections) = -4.494 eV per atom
M_tot = 0.000 Bohr magnetons per cell
V = 9.51 A^3/atom
DOS(E_F) = 10.895 states/eV per cell

a b c (Å): 5.339 5.339 5.339
angles (deg): 90.00 90.00 90.00
Space group Fm-3m (No. 225)
Symmetry-distinct sites (fractional):
1 As 0.000 0.000 0.000 (multiplicity 4)
2 H 0.250 0.250 0.250 (multiplicity 8)
3 Os 0.000 0.000 0.500 (multiplicity 4)

(15)
A relaxed La3Sb2O2 crystal, computed with PBE-GGA.

Properties
M_tot = 0.000 Bohr magnetons per cell
V = 27.85 A^3/atom
E_form (uncorrected) = -2.1556 eV/atom
DOS(E_F) = 5.359 states/eV per cell

a b c (Å): 12.889 4.228 7.643
angles (deg): 90.00 110.61 90.00
Space group C2/m (No. 12)
Symmetry-distinct sites (fractional):
1 La 0.000 0.000 0.000 (multiplicity 2)
2 La 0.184 0.500 0.785 (multiplicity 4)
3 Sb 0.122 0.500 0.323 (multiplicity 4)
4 O 0.164 0.000 0.917 (multiplicity 4)

(16)
A relaxed Ir2Se2N crystal, computed with PBE-GGA.

Properties
M_tot = 0.001 Bohr magnetons per cell
V = 18.10 A^3/atom
E_form (uncorrected) = 1.4785 eV/atom
DOS(E_F) = 16.379 states/eV per cell

a b c (Å): 4.180 4.180 10.361
angles (deg): 90.00 90.00 90.00
Space group I4/mmm (No. 139)
Symmetry-distinct sites (fractional):
1 Ir 0.000 0.000 0.120 (multiplicity 4)
2 Se 0.000 0.500 0.250 (multiplicity 4)
3 N 0.000 0.000 0.500 (multiplicity 2)

(17)
A relaxed Ac3CdSi crystal, computed with PBE-GGA.

Properties
M_tot = 0.000 Bohr magnetons per cell
V = 35.56 A^3/atom
E_form (uncorrected) = -0.2809 eV/atom
DOS(E_F) = 19.758 states/eV per cell

a b c (Å): 10.283 8.330 9.080
angles (deg): 90.00 113.88 90.00
Space group P2_1/c (No. 14)
Symmetry-distinct sites (fractional):
1 Ac 0.064 0.007 0.217 (multiplicity 4)
2 Ac 0.307 0.186 0.615 (multiplicity 4)
3 Ac 0.354 0.676 0.492 (multiplicity 4)
4 Cd 0.085 0.658 0.055 (multiplicity 4)
5 Si 0.418 0.016 0.358 (multiplicity 4)

(18)
A relaxed KVNi2Cl8 crystal, computed with PBE-GGA.

Properties
M_tot = 6.000 Bohr magnetons per cell
V = 25.82 A^3/atom
E_form (uncorrected) = -0.9461 eV/atom
DOS(E_F) = 28.580 states/eV per cell

a b c (Å): 6.1490 6.1490 28.3923
angles (deg): 90.00 90.00 120.00
Space group R-3 (No. 148, hexagonal axes)
Symmetry-distinct sites (fractional):
1 K 0.0000 0.0000 0.0000 (multiplicity 3)
2 V 0.0000 0.0000 0.5000 (multiplicity 3)
3 Ni 0.0000 0.0000 0.2382 (multiplicity 6)
4 Cl 0.0000 0.0000 0.3151 (multiplicity 6)
5 Cl 0.0081 0.6922 0.5487 (multiplicity 18)

(19)
A relaxed Pm6NdSc crystal, computed with PBE-GGA.

Properties
Calculated formation energy = 0.37 eV per atom
M_tot = 0.001 Bohr magnetons per cell
V = 36.40 A^3/atom
DOS(E_F) = 28.109 states/eV per cell

a b c (Å): 9.091 7.177 9.271
angles (deg): 90.00 105.67 90.00
Space group C2/m (No. 12)
Symmetry-distinct sites (fractional):
1 Pm 0.133 0.000 0.426 (multiplicity 4)
2 Pm 0.201 0.243 0.792 (multiplicity 8)
3 Nd 0.000 0.000 0.000 (multiplicity 2)
4 Sc 0.000 0.500 0.500 (multiplicity 2)

(20)
A relaxed CdHg2Te crystal, computed with PBE-GGA.

Properties
M_tot = 0.000 Bohr magnetons per cell
V = 29.14 A^3/atom
E_form (uncorrected) = 0.0300 eV/atom
DOS(E_F) = 2.876 states/eV per cell

a b c (Å): 5.796 12.399 3.244
angles (deg): 90.00 90.29 90.00
Space group C2/m (No. 12)
Symmetry-distinct sites (fractional):
1 Cd 0.000 0.000 0.000 (multiplicity 2)
2 Hg 0.250 0.250 0.500 (multiplicity 4)
3 Te 0.000 0.500 0.000 (multiplicity 2)

(21)
A relaxed TmMgGe2 crystal, computed with PBE-GGA.

Properties
Calculated formation energy = -0.34 eV per atom
M_tot = 0.000 Bohr magnetons per cell
V = 20.47 A^3/atom
DOS(E_F) = 2.225 states/eV per cell

a b c (Å): 3.583 3.583 6.380
angles (deg): 90.00 90.00 90.00
Space group P4/mmm (No. 123)
Symmetry-distinct sites (fractional):
1 Tm 0.000 0.000 0.000 (multiplicity 1)
2 Mg 0.000 0.000 0.500 (multiplicity 1)
3 Ge 0.500 0.500 0.276 (multiplicity 2)

(22)
A relaxed NbCdNiRu2 crystal, computed with PBE-GGA.

Properties
Calculated formation energy = 2.43 eV per atom
M_tot = 1.351 Bohr magnetons per cell
V = 22.76 A^3/atom
DOS(E_F) = 5.850 states/eV per cell

a b c (Å): 4.791 4.791 4.956
angles (deg): 90.00 90.00 90.00
Space group P4/mmm (No. 123)
Symmetry-distinct sites (fractional):
1 Nb 0.000 0.000 0.000 (multiplicity 1)
2 Cd 0.000 0.000 0.500 (multiplicity 1)
3 Ni 0.500 0.500 0.000 (multiplicity 1)
4 Ru 0.000 0.500 0.500 (multiplicity 2)

(23)
A relaxed SmZr2As4 crystal, computed with PBE-GGA.

Properties
Calculated formation energy = -0.95 eV per atom
M_tot = 0.000 Bohr magnetons per cell
V = 23.19 A^3/atom
DOS(E_F) = 8.930 states/eV per cell

a b c (Å): 3.931 12.981 12.728
angles (deg): 90.00 90.00 90.00
Space group Cmcm (No. 63)
Symmetry-distinct sites (fractional):
1 Sm 0.000 0.106 0.250 (multiplicity 4)
2 Zr 0.000 0.365 0.055 (multiplicity 8)
3 As 0.000 0.000 0.000 (multiplicity 4)
4 As 0.000 0.261 0.631 (multiplicity 8)
5 As 0.000 0.438 0.250 (multiplicity 4)

(24)
A relaxed LuSbH crystal, computed with PBE-GGA.

Properties
Total DFT energy (no corrections) = -4.677 eV per atom
M_tot = 0.000 Bohr magnetons per cell
V = 18.01 A^3/atom
DOS(E_F) = 1.684 states/eV per cell

a b c (Å): 3.6639 3.6639 4.6482
angles (deg): 90.00 90.00 120.00
Space group P-6m2 (No. 187)
Symmetry-distinct sites (fractional):
1 Lu 0.0000 0.0000 0.0000 (multiplicity 1)
2 Sb 0.6667 0.3333 0.5000 (multiplicity 1)
3 H 0.3333 0.6667 0.0000 (multiplicity 1)